A relaxed structure of MnTl2As2O6, computed with GGA+U.

Geometry as extended XYZ:
```
11
Lattice="4.3039 -2.8437 0.0000 4.3039 2.8437 0.0000 -1.8981 0.0000 7.4305" Properties=species:S:1:pos:R:3 pbc="T T T"
Mn 0.0000 0.0000 0.0000
Tl 0.5711 0.0000 4.8522
Tl 6.1387 0.0000 2.5783
As 2.9549 0.0000 1.5477
As 3.7549 0.0000 5.8828
O 1.9504 0.0000 0.0921
O 2.6242 1.4086 6.0450
O 4.0856 1.4086 1.3855
O 2.6242 -1.4086 6.0450
O 4.0856 -1.4086 1.3855
O 4.7594 0.0000 7.3384
```

Results
- Space-group type: C2/m (12)
- Total energy: -63.06 eV per cell
- Theoretical density: 6.5 Mg/m³